[1]
## PCl2 (PBE)

Data for an optimized crystal structure of PCl2.

CIF file:
```
data_PCl2
_cell_length_a 4.141
_cell_length_b 25.088
_cell_length_c 3.172
_cell_angle_alpha 90.00
_cell_angle_beta 90.00
_cell_angle_gamma 90.00
_space_group_name_H-M_alt 'C m c m'
_space_group_IT_number 63
_space_group_name_Hall '-C 2c 2'
loop_
_atom_site_label
_atom_site_type_symbol
_atom_site_fract_x
_atom_site_fract_y
_atom_site_fract_z
P1 P 0.000 0.111 0.250
Cl1 Cl 0.000 0.183 0.750
Cl2 Cl 0.000 0.418 0.250
```

Computed properties:
As for the electronic total energy: -2.826 eV per atom. The value obtained for the formation energy from raw total energies is 0.21 eV/atom. As for the density: 2.1 g cm⁻³. The calculation puts the size of the total moment at 0.000 μB/f.u.

[2]
## ZrCoMo (PBE)

Data for an optimized crystal structure of ZrCoMo.

CIF file:
```
data_ZrCoMo
_cell_length_a 2.952
_cell_length_b 2.952
_cell_length_c 11.181
_cell_angle_alpha 90.00
_cell_angle_beta 90.00
_cell_angle_gamma 90.00
_space_group_name_H-M_alt 'I 4 m m'
_space_group_IT_number 107
_space_group_name_Hall 'I 4 -2'
loop_
_atom_site_label
_atom_site_type_symbol
_atom_site_fract_x
_atom_site_fract_y
_atom_site_fract_z
Zr1 Zr 0.000 0.000 0.000
Co1 Co 0.000 0.000 0.322
Mo1 Mo 0.000 0.000 0.701
```

Computed properties:
As for the energy of formation from the pure elements: 0.0490 eV/atom. As for the electronic total energy: -8.779 eV per atom. As for the density: 8.4 g cm⁻³. The calculation puts the size of the total moment at 0.004 μB/f.u.

[3]
## KTl2InAg (PBE)

Data for an optimized crystal structure of KTl2InAg.

CIF file:
```
data_KTl2InAg
_cell_length_a 5.656
_cell_length_b 5.656
_cell_length_c 5.475
_cell_angle_alpha 90.00
_cell_angle_beta 90.00
_cell_angle_gamma 90.00
_space_group_name_H-M_alt 'P 4/m m m'
_space_group_IT_number 123
_space_group_name_Hall '-P 4 2'
loop_
_atom_site_label
_atom_site_type_symbol
_atom_site_fract_x
_atom_site_fract_y
_atom_site_fract_z
K1 K 0.000 0.000 0.000
Tl1 Tl 0.000 0.500 0.500
In1 In 0.500 0.500 0.000
Ag1 Ag 0.500 0.500 0.500
```

Computed properties:
As for the energy of formation from the pure elements: 0.0978 eV/atom. As for the electronic total energy: -2.186 eV per atom. As for the density: 6.4 g cm⁻³. The calculation puts the size of the total moment at 0.000 μB/f.u.

[4]
## NdMn4Se8 (PBE)

Data for an optimized crystal structure of NdMn4Se8.

CIF file:
```
data_NdMn4Se8
_cell_length_a 7.4082
_cell_length_b 7.4082
_cell_length_c 20.8936
_cell_angle_alpha 90.00
_cell_angle_beta 90.00
_cell_angle_gamma 120.00
_space_group_name_H-M_alt 'R -3 m'
_space_group_IT_number 166
_space_group_name_Hall '-R 3 2"'
loop_
_atom_site_label
_atom_site_type_symbol
_atom_site_fract_x
_atom_site_fract_y
_atom_site_fract_z
Nd1 Nd 0.0000 0.0000 0.0000
Mn1 Mn 0.0000 0.0000 0.5000
Mn2 Mn 0.0000 0.5000 0.5000
Se1 Se 0.0000 0.0000 0.2316
Se2 Se 0.0038 0.5019 0.7647
```

Computed properties:
As for the electronic total energy: -5.995 eV per atom. The value obtained for the formation energy from raw total energies is -0.66 eV/atom. As for the density: 5.0 g cm⁻³. The calculation puts the size of the total moment at 14.869 μB/f.u.